# Tl2NiTe (GGA-PBE, optimized geometry)
# raw formation energy	314	meV/atom
# symmetry	P4/mmm
# volume	25.33	Å³ per atom
# DOS(E_F)	0.723	states/eV per atom
# total magnetization	0.00	μB per cell
# relative energy among the computed polymorphs	1.59	eV/f.u.
data_Tl2NiTe
_cell_length_a 4.2952
_cell_length_b 4.2952
_cell_length_c 5.4924
_cell_angle_alpha 90.00
_cell_angle_beta 90.00
_cell_angle_gamma 90.00
_space_group_name_H-M_alt 'P 1'
_space_group_IT_number 1
loop_
_space_group_symop_operation_xyz
'x,y,z'
loop_
_atom_site_label
_atom_site_type_symbol
_atom_site_fract_x
_atom_site_fract_y
_atom_site_fract_z
Tl1 Tl 0.0000 0.5000 0.0000
Tl2 Tl 0.5000 0.0000 0.0000
Ni1 Ni 0.0000 0.0000 0.5000
Te1 Te 0.5000 0.5000 0.5000